1.
First-principles (GGA-PBE) data for a relaxed CeNiS2 crystal, as listed in the Alexandria database.

a = 8.053 Å, b = 8.053 Å, c = 8.053 Å
α = 24.86°, β = 24.86°, γ = 24.86°
Sites, in units of the cell vectors:
Ce 0.000 0.000 0.000
Ni 0.500 0.500 0.500
S 0.116 0.116 0.116
S 0.884 0.884 0.884

Summary:
mass density: 5.4 Mg/m³
offset from the most stable computed form: 1065 meV per atom
energy relative to the elements, uncorrected: -0.366 eV per atom
D(E_F): 6.3 states/eV/f.u.
V: 81 Å³/cell
DFT total energy: -5.3588 eV per atom



2.
First-principles (GGA-PBE) data for a relaxed Ce2NiSbS5 crystal, as listed in the Alexandria database.

a = 8.413 Å, b = 8.413 Å, c = 11.917 Å
α = 90.00°, β = 90.00°, γ = 153.79°
Sites, in units of the cell vectors:
Ce 0.117 0.883 0.500
Ce 0.117 0.883 0.847
Ce 0.883 0.117 0.000
Ce 0.883 0.117 0.347
Ni 0.439 0.561 0.575
Ni 0.561 0.439 0.075
Sb 0.164 0.836 0.180
Sb 0.836 0.164 0.680
S 0.007 0.993 0.163
S 0.300 0.700 0.850
S 0.312 0.688 0.499
S 0.340 0.660 0.173
S 0.495 0.505 0.908
S 0.505 0.495 0.408
S 0.660 0.340 0.673
S 0.688 0.312 0.999
S 0.700 0.300 0.350
S 0.993 0.007 0.663

Summary:
mass density: 5.5 Mg/m³
energy relative to the elements, uncorrected: -1.212 eV per atom
D(E_F): 8.8 states/eV/f.u.
V: 372 Å³/cell
DFT total energy: -5.9245 eV per atom



3.
First-principles (GGA-PBE) data for a relaxed Ce2ScNiS5 crystal, as listed in the Alexandria database.

a = 8.225 Å, b = 8.225 Å, c = 11.615 Å
α = 90.00°, β = 90.00°, γ = 153.43°
Sites, in units of the cell vectors:
Ce 0.112 0.888 0.500
Ce 0.123 0.877 0.852
Ce 0.877 0.123 0.352
Ce 0.888 0.112 0.000
Sc 0.178 0.822 0.177
Sc 0.822 0.178 0.677
Ni 0.443 0.557 0.575
Ni 0.557 0.443 0.075
S 0.019 0.981 0.169
S 0.307 0.693 0.833
S 0.308 0.692 0.520
S 0.341 0.659 0.174
S 0.499 0.501 0.904
S 0.501 0.499 0.404
S 0.659 0.341 0.674
S 0.692 0.308 0.020
S 0.693 0.307 0.333
S 0.981 0.019 0.669

Summary:
mass density: 5.1 Mg/m³
energy relative to the elements, uncorrected: -1.727 eV per atom
D(E_F): 9.1 states/eV/f.u.
V: 351 Å³/cell
DFT total energy: -6.6843 eV per atom



4.
First-principles (GGA-PBE) data for a relaxed Ce3Ni2Se2S4 crystal, as listed in the Alexandria database.

a = 11.978 Å, b = 11.978 Å, c = 11.978 Å
α = 158.78°, β = 158.78°, γ = 30.19°
Sites, in units of the cell vectors:
Ce 0.000 0.000 0.000
Ce 0.164 0.164 0.000
Ce 0.836 0.836 0.000
Ni 0.400 0.400 0.000
Ni 0.600 0.600 0.000
Se 0.295 0.295 0.000
Se 0.705 0.705 0.000
S 0.079 0.579 0.500
S 0.421 0.921 0.500
S 0.579 0.079 0.500
S 0.921 0.421 0.500

Summary:
mass density: 6.1 Mg/m³
energy relative to the elements, uncorrected: -1.396 eV per atom
D(E_F): 16.9 states/eV/f.u.
V: 225 Å³/cell
DFT total energy: -6.2000 eV per atom



5.
First-principles (GGA-PBE) data for a relaxed Ce2SmNiS5 crystal, as listed in the Alexandria database.

a = 8.528 Å, b = 8.528 Å, c = 11.872 Å
α = 90.00°, β = 90.00°, γ = 153.98°
Sites, in units of the cell vectors:
Ce 0.111 0.889 0.500
Ce 0.116 0.884 0.845
Ce 0.884 0.116 0.345
Ce 0.889 0.111 0.000
Sm 0.175 0.825 0.177
Sm 0.825 0.175 0.677
Ni 0.451 0.549 0.565
Ni 0.549 0.451 0.065
S 0.010 0.990 0.157
S 0.302 0.698 0.847
S 0.321 0.679 0.507
S 0.343 0.657 0.171
S 0.494 0.506 0.896
S 0.506 0.494 0.396
S 0.657 0.343 0.671
S 0.679 0.321 0.007
S 0.698 0.302 0.347
S 0.990 0.010 0.657

Summary:
mass density: 5.7 Mg/m³
energy relative to the elements, uncorrected: -1.738 eV per atom
D(E_F): 9.5 states/eV/f.u.
V: 379 Å³/cell
DFT total energy: -6.5169 eV per atom



6.
First-principles (GGA-PBE) data for a relaxed SrCeNiS3 crystal, as listed in the Alexandria database.

a = 6.749 Å, b = 6.749 Å, c = 10.329 Å
α = 90.00°, β = 90.00°, γ = 146.07°
Sites, in units of the cell vectors:
Sr 0.244 0.756 0.750
Sr 0.756 0.244 0.250
Ce 0.500 0.500 0.000
Ce 0.500 0.500 0.500
Ni 0.026 0.974 0.250
Ni 0.974 0.026 0.750
S 0.138 0.862 0.078
S 0.138 0.862 0.422
S 0.430 0.570 0.250
S 0.570 0.430 0.750
S 0.862 0.138 0.578
S 0.862 0.138 0.922

Summary:
mass density: 4.8 Mg/m³
energy relative to the elements, uncorrected: -1.665 eV per atom
D(E_F): 1.5 states/eV/f.u.
V: 263 Å³/cell
DFT total energy: -5.9616 eV per atom